[1]
Computed, not measured: crystalline Ac2Sn3Ir4Rh at its relaxed geometry at the PBE-GGA level of DFT.

Lattice parameters (Å, degrees): 4.470 4.470 11.120 90.00 90.00 90.00
Atoms (fractional coordinates):
Ac 0.500 0.000 0.254
Ac 0.000 0.500 0.746
Sn 0.000 0.000 0.500
Sn 0.500 0.000 0.870
Sn 0.000 0.500 0.130
Ir 0.500 0.500 0.000
Ir 0.000 0.000 0.000
Ir 0.500 0.000 0.631
Ir 0.000 0.500 0.369
Rh 0.500 0.500 0.500

Calculated values
- Total energy: -6.79 eV/atom
- Energy of formation from the pure elements: -0.49 eV per atom
- Density of states at the Fermi level: 0.609 states/eV per atom

[2]
Computed, not measured: crystalline KSrAlH6 at its relaxed geometry at the PBE-GGA level of DFT.

Lattice parameters (Å, degrees): 5.658 5.658 5.216 90.00 90.00 60.00
Atoms (fractional coordinates):
K 0.000 0.000 0.000
Sr 0.667 0.667 0.500
Al 0.333 0.333 0.500
H 0.076 0.340 0.303
H 0.340 0.076 0.697
H 0.584 0.340 0.697
H 0.076 0.584 0.697
H 0.340 0.584 0.303
H 0.584 0.076 0.303

Calculated values
- Total energy: -3.21 eV/atom
- Density of states at the Fermi level: 0.000 states/eV per atom